DFT (GGA+U) results for crystalline KCrRhF6 at its relaxed geometry.

Results
Final energy in eV/atom: -5.243

The structure in CIF format:
```
data_KCrRhF6
_chemical_formula_sum 'K4 Cr4 Rh4 F24'
_cell_length_a 7.020
_cell_length_b 7.629
_cell_length_c 10.647
_cell_angle_alpha 90.00
_cell_angle_beta 90.00
_cell_angle_gamma 90.00
_space_group_name_H-M_alt 'I m m a'
_space_group_IT_number 74
_space_group_name_Hall '-I 2b 2'
loop_
_atom_site_label
_atom_site_type_symbol
_atom_site_fract_x
_atom_site_fract_y
_atom_site_fract_z
K1 K 0.000 0.250 0.127
Cr1 Cr 0.000 0.000 0.500
Rh1 Rh 0.250 0.250 0.750
F1 F 0.000 0.250 0.464
F2 F 0.000 0.250 0.844
F3 F 0.198 0.018 0.627
```